1.
! ZrTi2Ge PBE-GGA relaxed; values from VASP
! Electronic total energy (eV/atom): -7.600
! Energy of formation (meV per atom): -361
&SYSTEM
  ibrav = 0, nat = 4, ntyp = 3
/
ATOMIC_SPECIES
Zr 91.22 Zr.upf
Ti 47.87 Ti.upf
Ge 72.64 Ge.upf
CELL_PARAMETERS angstrom
4.1396 0.0000 0.0000
0.0000 4.1396 0.0000
0.0000 0.0000 4.1083
ATOMIC_POSITIONS crystal
Zr 0.0000 0.0000 0.0000
Ti 0.0000 0.5000 0.5000
Ti 0.5000 0.0000 0.5000
Ge 0.5000 0.5000 0.0000

---

2.
! PmPr2HoS5 PBE-GGA relaxed; values from VASP
! Electronic total energy (eV/atom): -5.890
! Raw formation energy (eV per formula unit): -13.5
&SYSTEM
  ibrav = 0, nat = 9, ntyp = 4
/
ATOMIC_SPECIES
Pm 145.00 Pm.upf
Pr 140.91 Pr.upf
Ho 164.93 Ho.upf
S 32.06 S.upf
CELL_PARAMETERS angstrom
4.8699 0.0000 0.0000
0.0000 4.8699 0.0000
0.0000 0.0000 10.4583
ATOMIC_POSITIONS crystal
Pm 0.0000 0.0000 0.0000
Pr 0.5000 0.5000 0.3059
Pr 0.5000 0.5000 0.6941
Ho 0.0000 0.0000 0.5000
S 0.0000 0.0000 0.2493
S 0.0000 0.0000 0.7507
S 0.0000 0.5000 0.5000
S 0.5000 0.0000 0.5000
S 0.5000 0.5000 0.0000

---

Number 1: volume 17.60 A^3/atom. Number 2: volume 27.56 A^3/atom.